# Zn3TcPb

A geometry-optimized Zn3TcPb structure (PBE-GGA, Alexandria).

Density, Mg/m³: 7.29
Spin magnetization, μB/f.u.: 0.00
Polymorph energy (0 for the lowest one), meV per atom: 0
Energy, eV per formula unit: -15.1
Formation energy, kcal/mol of atoms: 13.104

Geometry as CIF:
```
data_Zn3TcPb
_chemical_formula_sum 'Zn3 Tc1 Pb1'
_cell_length_a 4.8525
_cell_length_b 4.8525
_cell_length_c 4.8525
_cell_angle_alpha 90.00
_cell_angle_beta 90.00
_cell_angle_gamma 90.00
_symmetry_space_group_name_H-M 'P m -3 m'
_symmetry_Int_Tables_number 221
_symmetry_space_group_name_Hall '-P 4 2 3'
loop_
_atom_site_label
_atom_site_type_symbol
_atom_site_fract_x
_atom_site_fract_y
_atom_site_fract_z
Zn1 Zn 0.0000 0.0000 0.5000
Tc1 Tc 0.0000 0.0000 0.0000
Pb1 Pb 0.5000 0.5000 0.5000
```

=====

# AlCd2Re

A geometry-optimized AlCd2Re structure (PBE-GGA, Alexandria).

Density, Mg/m³: 10.43
Spin magnetization, μB/f.u.: 0.00
Energy, eV per formula unit: -16.5
Formation energy, kcal/mol of atoms: 8.741

Geometry as CIF:
```
data_AlCd2Re
_chemical_formula_sum 'Al2 Cd4 Re2'
_cell_length_a 3.8458
_cell_length_b 3.8458
_cell_length_c 9.4343
_cell_angle_alpha 90.00
_cell_angle_beta 90.00
_cell_angle_gamma 90.00
_symmetry_space_group_name_H-M 'I 4/m m m'
_symmetry_Int_Tables_number 139
_symmetry_space_group_name_Hall '-I 4 2'
loop_
_atom_site_label
_atom_site_type_symbol
_atom_site_fract_x
_atom_site_fract_y
_atom_site_fract_z
Al1 Al 0.0000 0.0000 0.0000
Cd1 Cd 0.0000 0.5000 0.2500
Re1 Re 0.0000 0.0000 0.5000
```

=====

Fermi-level density of states: 3.713; 3.151 (states/eV per cell)